No. 1
ThCuPt4: optimized geometry, GGA-PBE.

Cell lengths 5.379, 5.379, 5.379 Å; angles 60.00, 60.00, 60.00 degrees
Sites, in units of the cell vectors:
Th 0.000 0.000 0.000
Cu 0.250 0.250 0.250
Pt 0.128 0.624 0.624
Pt 0.624 0.128 0.624
Pt 0.624 0.624 0.128
Pt 0.624 0.624 0.624

Output
Volume: 110.06 Å³ per cell
Formation energy from the elements: -74.4 kJ/mol of atoms
Crystal system: cubic
SG: F-43m (216)

No. 2
Ca3PdRu: optimized geometry, GGA-PBE.

Cell lengths 5.262, 5.262, 5.262 Å; angles 90.00, 90.00, 90.00 degrees
Sites, in units of the cell vectors:
Ca 0.000 0.000 0.500
Ca 0.000 0.500 0.000
Ca 0.500 0.000 0.000
Pd 0.500 0.500 0.500
Ru 0.000 0.000 0.000

Output
Volume: 145.70 Å³ per cell
Formation energy from the elements: 22.9 kJ/mol of atoms
Crystal system: cubic
Energy relative to the lowest polymorph listed for this composition: 0.00 kcal/mol of atoms
SG: Pm-3m (221)

No. 3
B5C7: optimized geometry, GGA-PBE.

Cell lengths 6.280, 6.280, 5.221 Å; angles 101.56, 101.56, 23.07 degrees
Sites, in units of the cell vectors:
B 0.000 0.000 0.000
B 0.006 0.006 0.563
B 0.255 0.255 0.426
B 0.601 0.601 0.098
B 0.903 0.903 0.272
C 0.254 0.254 0.920
C 0.325 0.325 0.195
C 0.333 0.333 0.719
C 0.601 0.601 0.605
C 0.663 0.663 0.394
C 0.677 0.677 0.878
C 0.903 0.903 0.753

Output
Volume: 78.98 Å³ per cell
Formation energy from the elements: 34.8 kJ/mol of atoms
Crystal system: monoclinic
Energy relative to the lowest polymorph listed for this composition: 2.37 kcal/mol of atoms
SG: Cm (8)